Entry 1:
# ZrTaNb2

An optimized crystal structure of ZrTaNb2 (PBE, the Alexandria database).

Cell lengths 4.772, 4.772, 4.772 Å; angles 60.00, 60.00, 60.00 degrees
Fractional coordinates of all 4 atoms:
Nb (0.750, 0.750, 0.750)
Nb (0.250, 0.250, 0.250)
Ta (0.500, 0.500, 0.500)
Zr (0.000, 0.000, 0.000)

- DOS at the Fermi energy: 8.32 states/eV/cell
- E above lowest polymorph: 18.5 meV/atom
- Calculated volume: 76.8 Å³ per cell
- Total magnetization: 0.000 μB/f.u.



Entry 2:
# LaEr5Mg6

An optimized crystal structure of LaEr5Mg6 (PBE, the Alexandria database).

Cell lengths 5.365, 7.592, 8.490 Å; angles 90.00, 71.58, 90.00 degrees
Fractional coordinates of all 12 atoms:
Mg (0.169, 0.256, 0.661)
Mg (0.831, 0.744, 0.339)
Mg (0.500, 0.255, 0.000)
Mg (0.830, 0.256, 0.339)
Mg (0.170, 0.744, 0.661)
Mg (0.500, 0.745, 0.000)
La (0.000, 0.000, 0.000)
Er (0.664, 0.500, 0.672)
Er (0.336, 0.500, 0.328)
Er (0.331, 0.000, 0.337)
Er (0.669, 0.000, 0.663)
Er (0.000, 0.500, 0.000)

- DOS at the Fermi energy: 15.13 states/eV/cell
- Calculated total energy: -38.17 eV/cell
- Calculated volume: 328.1 Å³ per cell
- Total magnetization: 0.000 μB/f.u.